Model i:
First-principles (GGA-PBE) data for crystalline BTePd3 at its relaxed geometry, as listed in the Alexandria database.

Calculated density = 9.54 g/cm3
Density of states at the Fermi level = 2.38 states/eV/f.u.
Symmetry = No. 221

a = 4.302 Å, b = 4.302 Å, c = 4.302 Å
α = 90.00°, β = 90.00°, γ = 90.00°
Element x y z (fractional)
B 0.000 0.000 0.000
Te 0.500 0.500 0.500
Pd 0.000 0.500 0.000
Pd 0.000 0.000 0.500
Pd 0.500 0.000 0.000



Model ii:
First-principles (GGA-PBE) data for crystalline BTePd3 at its relaxed geometry, as listed in the Alexandria database.

Calculated density = 6.22 g/cm3
Density of states at the Fermi level = 2.01 states/eV/f.u.
Symmetry = No. 221

a = 4.962 Å, b = 4.962 Å, c = 4.962 Å
α = 90.00°, β = 90.00°, γ = 90.00°
Element x y z (fractional)
B 0.500 0.500 0.500
Te 0.000 0.000 0.000
Pd 0.000 0.500 0.000
Pd 0.000 0.000 0.500
Pd 0.500 0.000 0.000



Most stable to least stable, the ends of the list are model i and model ii.